Computed, not measured: a relaxed structure of Pu2PaNi at the PBE level of DFT.

Cell lengths 4.8841, 4.8841, 4.8841 Å; angles 60.00, 60.00, 60.00 degrees
Fractional coordinates of all 4 atoms:
Pu 0.2500 0.2500 0.2500
Pu 0.7500 0.7500 0.7500
Pa 0.0000 0.0000 0.0000
Ni 0.5000 0.5000 0.5000

Summary:
Energy above the lowest structure with this stoichiometry in eV/f.u.: 0.510
Calculated formation energy in eV/f.u.: 0.48
Crystal system: cubic
Total moment in μB per cell: 12.22